{
  "formula": "SiBr3",
  "functional": "PBE-GGA",
  "state": "relaxed",
  "lattice": [[-7.6374, -4.9660, -1.0153], [7.0300, -3.3417, 4.8409], [-2.4074, 2.6182, 5.3034]],
  "species": ["Si", "Si", "Si", "Si", "Br", "Br", "Br", "Br", "Br", "Br", "Br", "Br", "Br", "Br", "Br", "Br"],
  "fractional_positions": [[0.0000, 0.0000, 0.0000], [0.0000, 0.0000, 0.5000], [0.3333, 0.6667, 0.2500], [0.6667, 0.3333, 0.7500], [0.5000, 0.0000, 0.0000], [0.5000, 0.0000, 0.5000], [0.0000, 0.5000, 0.0000], [0.5000, 0.5000, 0.0000], [0.5000, 0.5000, 0.5000], [0.0000, 0.5000, 0.5000], [0.8791, 0.7582, 0.2500], [0.1209, 0.2418, 0.7500], [0.2418, 0.1209, 0.2500], [0.8791, 0.1209, 0.2500], [0.1209, 0.8791, 0.7500], [0.7582, 0.8791, 0.7500]],
  "polymorph_energy_kj_per_mol_atoms": 74.3,
  "formation_energy_uncorrected_mev_per_atom": 15.4,
  "sg": "P6_3/mmc (194)",
  "vol_a3_per_cell": 465
}

=====

{
  "formula": "Sr3CdPb2",
  "functional": "PBE-GGA",
  "state": "relaxed",
  "lattice": [[3.9659, 0.0000, 0.0000], [0.0000, 5.5694, -1.8438], [0.0000, 0.0104, 9.3649]],
  "species": ["Sr", "Sr", "Sr", "Cd", "Pb", "Pb"],
  "fractional_positions": [[0.5000, 0.5000, 0.0000], [0.5000, 0.8316, 0.6632], [0.5000, 0.1684, 0.3368], [0.0000, 0.0000, 0.0000], [0.0000, 0.3399, 0.6798], [0.0000, 0.6601, 0.3202]],
  "delta_e_f_ev_per_fu": -2.90,
  "sg": "Cmmm (65)",
  "vol_a3_per_cell": 207
}

=====

{
  "formula": "KBaHgS2",
  "functional": "PBE-GGA",
  "state": "relaxed",
  "lattice": [[-3.4009, -1.6173, -3.4257], [-4.7231, -2.1182, 5.6889], [-2.4156, 8.0726, -1.4128]],
  "species": ["K", "K", "Ba", "Ba", "Hg", "Hg", "S", "S", "S", "S"],
  "fractional_positions": [[0.4812, 0.0000, 0.2500], [0.5188, 0.0000, 0.7500], [0.1969, 0.5000, 0.7500], [0.8031, 0.5000, 0.2500], [0.0000, 0.0000, 0.0000], [0.0000, 0.0000, 0.5000], [0.6986, 0.7026, 0.9638], [0.6986, 0.2974, 0.5362], [0.3014, 0.7026, 0.4638], [0.3014, 0.2974, 0.0362]],
  "formation_energy_uncorrected_mev_per_atom": -988.5,
  "sg": "P2/c (13)",
  "vol_a3_per_cell": 327
}

=====

{
  "formula": "Ac3Ga5Si2",
  "functional": "PBE-GGA",
  "state": "relaxed",
  "lattice": [[-1.6065, -1.7826, -6.1385], [6.8062, -5.1591, -3.8214], [-3.6697, -8.6064, -0.0787]],
  "species": ["Ac", "Ac", "Ac", "Ac", "Ac", "Ac", "Ga", "Ga", "Ga", "Ga", "Ga", "Ga", "Ga", "Ga", "Ga", "Ga", "Si", "Si", "Si", "Si"],
  "fractional_positions": [[0.2500, 0.0000, 0.0000], [0.7500, 0.0000, 0.0000], [0.3740, 0.3993, 0.8526], [0.6260, 0.6007, 0.1474], [0.8740, 0.8526, 0.3993], [0.1260, 0.1474, 0.6007], [0.2500, 0.5000, 0.5000], [0.7500, 0.5000, 0.5000], [0.4903, 0.7597, 0.7597], [0.0097, 0.2403, 0.2403], [0.5097, 0.2403, 0.2403], [0.9903, 0.7597, 0.7597], [0.1302, 0.4788, 0.2608], [0.8698, 0.5212, 0.7392], [0.6302, 0.2608, 0.4788], [0.3698, 0.7392, 0.5212], [0.1257, 0.6949, 0.0537], [0.8743, 0.3051, 0.9463], [0.6257, 0.0537, 0.6949], [0.3743, 0.9463, 0.3051]],
  "formation_energy_uncorrected_mev_per_atom": -309.4,
  "sg": "Ibam (72)",
  "vol_a3_per_cell": 502
}

=====

{
  "formula": "KBa2SeCl",
  "functional": "PBE-GGA",
  "state": "relaxed",
  "lattice": [[-2.3974, 3.3888, -4.2024], [4.7587, -2.2107, -4.4974], [-3.5497, -4.4539, -1.5666]],
  "species": ["K", "Ba", "Ba", "Se", "Cl"],
  "fractional_positions": [[0.5000, 0.5000, 0.5000], [0.0000, 0.0000, 0.5000], [0.5000, 0.0000, 0.0000], [0.0000, 0.5000, 0.0000], [0.0000, 0.0000, 0.0000]],
  "formation_energy_uncorrected_mev_per_atom": -824.6,
  "sg": "P4/mmm (123)",
  "vol_a3_per_cell": 241
}

=====

{
  "formula": "Zr5Al4Cd",
  "functional": "PBE-GGA",
  "state": "relaxed",
  "lattice": [[3.6272, 0.0000, 0.0000], [0.0000, 3.6272, 0.0000], [0.0000, 0.0000, 15.1948]],
  "species": ["Zr", "Zr", "Zr", "Zr", "Zr", "Al", "Al", "Al", "Al", "Cd"],
  "fractional_positions": [[0.5000, 0.5000, 0.1081], [0.5000, 0.5000, 0.3056], [0.5000, 0.5000, 0.5000], [0.5000, 0.5000, 0.6944], [0.5000, 0.5000, 0.8919], [0.0000, 0.0000, 0.2088], [0.0000, 0.0000, 0.4021], [0.0000, 0.0000, 0.5979], [0.0000, 0.0000, 0.7912], [0.0000, 0.0000, 0.0000]],
  "delta_e_f_ev_per_fu": -2.80,
  "sg": "P4/mmm (123)",
  "vol_a3_per_cell": 200
}

=====

{
  "formula": "ZrSiS3",
  "functional": "PBE-GGA",
  "state": "relaxed",
  "lattice": [[4.9580, 0.0000, 0.0000], [0.0000, 4.9580, 0.0000], [0.0000, 0.0000, 4.9580]],
  "species": ["S", "S", "S", "Si", "Zr"],
  "fractional_positions": [[0.0000, 0.5000, 0.0000], [0.0000, 0.0000, 0.5000], [0.5000, 0.0000, 0.0000], [0.5000, 0.5000, 0.5000], [0.0000, 0.0000, 0.0000]],
  "polymorph_energy_kj_per_mol_atoms": 3.4,
  "formation_energy_uncorrected_mev_per_atom": -181.0,
  "sg": "Pm-3m (221)",
  "vol_a3_per_cell": 122
}

=====

{
  "formula": "EuMn2Sb2",
  "functional": "PBE-GGA",
  "state": "relaxed",
  "lattice": [[-2.3423, -0.9445, -3.7396], [-1.4130, -1.5444, 3.9976], [-4.1214, 6.3206, 0.9850]],
  "species": ["Eu", "Mn", "Mn", "Sb", "Sb"],
  "fractional_positions": [[0.0000, 0.0000, 0.0000], [0.6667, 0.3333, 0.6226], [0.3333, 0.6667, 0.3774], [0.6667, 0.3333, 0.2597], [0.3333, 0.6667, 0.7403]],
  "formation_energy_uncorrected_mev_per_atom": -217.5,
  "sg": "P-3m1 (164)",
  "vol_a3_per_cell": 134
}

=====

{
  "formula": "Zr5Ga2H",
  "functional": "PBE-GGA",
  "state": "relaxed",
  "lattice": [[6.2932, 0.0022, 0.0012], [0.0024, 6.2932, 0.0012], [-3.1468, -3.1467, 3.9544]],
  "species": ["Zr", "Zr", "Zr", "Zr", "Zr", "Ga", "Ga", "H"],
  "fractional_positions": [[0.7485, 0.2522, 0.0008], [0.2522, 0.2522, 0.0006], [0.7485, 0.7485, 0.0009], [0.2522, 0.7485, 0.0008], [0.7530, 0.7530, 0.5058], [0.2494, 0.7494, 0.4988], [0.7494, 0.2494, 0.4988], [0.0239, 0.0239, 0.0476]],
  "sg": "I4mm (107)",
  "vol_a3_per_cell": 157,
  "dft_energy_ha_per_atom": -0.248
}

=====

{
  "formula": "NaZn2GaPd",
  "functional": "PBE-GGA",
  "state": "relaxed",
  "lattice": [[-1.1932, 4.6846, 0.8107], [-3.0337, -0.1067, -3.8486], [-3.5667, -1.4018, 2.8504]],
  "species": ["Na", "Zn", "Zn", "Ga", "Pd"],
  "fractional_positions": [[0.5000, 0.5000, 0.5000], [0.0000, 0.5000, 0.0000], [0.5000, 0.0000, 0.0000], [0.0000, 0.0000, 0.5000], [0.0000, 0.0000, 0.0000]],
  "delta_e_f_ev_per_fu": -0.64,
  "sg": "P4/mmm (123)",
  "vol_a3_per_cell": 115
}

=====

{
  "formula": "AcHf2TeO8",
  "functional": "PBE-GGA",
  "state": "relaxed",
  "lattice": [[5.0447, 0.0520, -0.0036], [0.1028, 5.0442, -0.0058], [0.0044, 0.0075, 6.8297]],
  "species": ["Ac", "Hf", "Hf", "Te", "O", "O", "O", "O", "O", "O", "O", "O"],
  "fractional_positions": [[0.0000, 0.0000, 0.5000], [0.5000, 0.5000, 0.7534], [0.5000, 0.5000, 0.2466], [0.0000, 0.0000, 0.0000], [0.2079, 0.7918, 0.2117], [0.6983, 0.6985, 0.0000], [0.7921, 0.2082, 0.2117], [0.7921, 0.2082, 0.7883], [0.3017, 0.3015, 0.0000], [0.2079, 0.7918, 0.7883], [0.6674, 0.6677, 0.5000], [0.3326, 0.3323, 0.5000]],
  "formation_energy_uncorrected_mev_per_atom": -2623.9,
  "sg": "Cmmm (65)",
  "vol_a3_per_cell": 174
}

=====

{
  "formula": "LiGa2Te2",
  "functional": "PBE-GGA",
  "state": "relaxed",
  "lattice": [[-8.1841, 0.0766, -0.7712], [0.4503, -6.1878, -5.3933], [-0.3097, -2.6569, 3.0225]],
  "species": ["Te", "Te", "Te", "Te", "Ga", "Ga", "Ga", "Ga", "Li", "Li"],
  "fractional_positions": [[0.2755, 0.7755, 0.0000], [0.7755, 0.7245, 0.0000], [0.7245, 0.2245, 0.0000], [0.2245, 0.2755, 0.0000], [0.1120, 0.6120, 0.5000], [0.6120, 0.8880, 0.5000], [0.8880, 0.3880, 0.5000], [0.3880, 0.1120, 0.5000], [0.0000, 0.0000, 0.0000], [0.5000, 0.5000, 0.0000]],
  "polymorph_energy_kj_per_mol_atoms": 0.5,
  "formation_energy_uncorrected_mev_per_atom": -292.1,
  "sg": "P4/mbm (127)",
  "vol_a3_per_cell": 273
}